DFT (PBE) results for an optimized crystal structure of TlBi4Pb15.

Unit cell a=5.685 b=5.685 c=19.580 alpha=90.00 beta=90.00 gamma=90.00
Space group P4/mmm (No. 123)
Asymmetric unit:
Tl1 0.000 0.000 0.000
Bi1 0.000 0.000 0.189
Bi2 0.000 0.000 0.396
Pb1 0.000 0.500 0.101
Pb2 0.000 0.500 0.299
Pb3 0.000 0.500 0.500
Pb4 0.500 0.500 0.000
Pb5 0.500 0.500 0.207
Pb6 0.500 0.500 0.404

**Total moment**: 0.0 μB per cell
**Total DFT energy (no corrections)**: -3.64 eV per atom
**E_form**: 0.76 kcal/mol of atoms
**DOS(E_F)**: 0.44 states/eV per atom